Here is crystalline Ac2Th3Te8 at its relaxed geometry from Alexandria. Energies are from PBE.

abc: 7.6066 9.0232 9.3934
angles: 118.70 104.66 90.00
Positions (direct):
Ac 0.3277 0.2515 0.5030
Ac 0.6723 0.7485 0.4970
Th 0.5000 0.0000 0.0000
Th 0.0000 0.2483 0.0000
Th 0.0000 0.7517 0.0000
Te 0.9164 0.6122 0.2245
Te 0.0836 0.3878 0.7755
Te 0.9064 0.1205 0.2410
Te 0.0936 0.8795 0.7590
Te 0.5875 0.6344 0.7645
Te 0.5875 0.1302 0.7645
Te 0.4125 0.8698 0.2355
Te 0.4125 0.3656 0.2355

Crystal system   monoclinic
E above lowest polymorph   60 meV per atom
Formation energy from raw total energies   -1.24 eV per atom
Electronic total energy   -71.71 eV per cell



Here is crystalline Ac2ThTl3Te6 at its relaxed geometry from Alexandria. Energies are from PBE.

abc: 8.0974 8.0974 8.6848
angles: 98.95 98.95 119.94
Positions (direct):
Ac 0.3342 0.6658 0.0000
Ac 0.6658 0.3342 0.0000
Th 0.0000 0.0000 0.0000
Tl 0.1715 0.8285 0.5000
Tl 0.8285 0.1715 0.5000
Tl 0.5000 0.5000 0.5000
Te 0.9249 0.6078 0.7731
Te 0.7614 0.7614 0.2309
Te 0.0751 0.3922 0.2269
Te 0.6078 0.9249 0.7731
Te 0.2386 0.2386 0.7691
Te 0.3922 0.0751 0.2269

Crystal system   monoclinic
Formation energy from raw total energies   -1.02 eV per atom
Electronic total energy   -53.85 eV per cell



Here is crystalline AcTiTe3 at its relaxed geometry from Alexandria. Energies are from PBE.

abc: 4.2252 8.5179 9.2867
angles: 92.82 90.00 104.36
Last column: magnetic moment on the atom in μB.
Positions (direct):
Ac 0.4184 0.8698 0.3171  0.01
Ac 0.6256 0.2843 0.1045  0.01
Ti 0.2259 0.4849 0.5809  0.80
Ti 0.8182 0.6692 0.8406  0.80
Te 0.0788 0.1906 0.3864  -0.02
Te 0.3867 0.8064 0.6860  -0.05
Te 0.6573 0.3477 0.7356  -0.05
Te 0.9652 0.9635 0.0352  -0.02
Te 0.2757 0.5845 0.0377  -0.02
Te 0.7682 0.5696 0.3838  -0.02

Crystal system   monoclinic
Formation energy from raw total energies   -1.10 eV per atom
Electronic total energy   -53.83 eV per cell



Here is crystalline Ac2TiTe5 at its relaxed geometry from Alexandria. Energies are from PBE.

abc: 7.9930 7.9927 6.8709
angles: 124.13 124.13 81.80
Positions (direct):
Ac 0.3316 0.8177 0.5803
Ac 0.8178 0.3316 0.5804
Ti 0.9497 0.9497 0.9214
Te 0.7017 0.2212 0.9062
Te 0.2531 0.2531 0.0980
Te 0.8464 0.8464 0.1642
Te 0.2212 0.7017 0.9064
Te 0.6555 0.6555 0.3971

Crystal system   monoclinic
Formation energy from raw total energies   -1.08 eV per atom
Electronic total energy   -40.47 eV per cell



Here is crystalline AcTiTe2 at its relaxed geometry from Alexandria. Energies are from PBE.

abc: 4.8045 4.8045 9.5765
angles: 75.47 75.47 60.00
Last column: magnetic moment on the atom in μB.
Positions (direct):
Ac 0.5000 0.5000 0.5000  0.05
Te 0.1002 0.1002 0.6995  -0.01
Te 0.8998 0.8998 0.3005  -0.01
Ti 0.0000 0.0000 0.0000  1.96

Crystal system   trigonal
E above lowest polymorph   310 meV per atom
Formation energy from raw total energies   -0.40 eV per atom
Electronic total energy   -19.89 eV per cell



Here is crystalline AcTiTe at its relaxed geometry from Alexandria. Energies are from PBE.

abc: 3.7744 6.6784 8.7867
angles: 99.35 115.39 73.58
Last column: magnetic moment on the atom in μB.
Positions (direct):
Ti 0.9062 0.8851 0.5983  0.43
Ti 0.0938 0.1149 0.4017  0.43
Ac 0.5472 0.7564 0.1756  0.03
Ac 0.4528 0.2436 0.8244  0.03
Te 0.7076 0.6991 0.8068  0.00
Te 0.2924 0.3009 0.1932  0.00

Crystal system   triclinic
Formation energy from raw total energies   -0.40 eV per atom
Electronic total energy   -32.68 eV per cell



Here is crystalline AcTiTe2 at its relaxed geometry from Alexandria. Energies are from PBE.

abc: 3.7285 3.7285 7.7449
angles: 90.00 90.00 90.00
Positions (direct):
Ac 0.5000 0.5000 0.5000
Te 0.0000 0.0000 0.7873
Te 0.0000 0.0000 0.2127
Ti 0.5000 0.5000 0.0000

Crystal system   tetragonal
E above lowest polymorph   0 meV per atom
Formation energy from raw total energies   -0.71 eV per atom
Electronic total energy   -21.13 eV per cell



Here is crystalline Ac2TiTl3Te6 at its relaxed geometry from Alexandria. Energies are from PBE.

abc: 7.9565 7.9565 8.5402
angles: 99.06 99.06 119.82
Last column: magnetic moment on the atom in μB.
Positions (direct):
Ac 0.3354 0.6646 0.0000  0.00
Ac 0.6646 0.3354 0.0000  0.00
Ti 0.0000 0.0000 0.0000  0.92
Tl 0.1749 0.8251 0.5000  0.00
Tl 0.8251 0.1749 0.5000  0.00
Tl 0.5000 0.5000 0.5000  0.00
Te 0.9299 0.6345 0.7874  -0.02
Te 0.7785 0.7785 0.2245  -0.01
Te 0.0701 0.3655 0.2126  -0.02
Te 0.6345 0.9299 0.7874  -0.02
Te 0.2215 0.2215 0.7755  -0.01
Te 0.3655 0.0701 0.2126  -0.02

Crystal system   monoclinic
Formation energy from raw total energies   -0.88 eV per atom
Electronic total energy   -52.65 eV per cell



Here is crystalline Ac3TlTe6 at its relaxed geometry from Alexandria. Energies are from PBE.

abc: 7.8623 10.3236 10.3236
angles: 102.62 90.00 90.00
Positions (direct):
Ac 0.4823 0.9140 0.7194
Ac 0.9823 0.7194 0.9140
Ac 0.3847 0.4030 0.5970
Ac 0.8847 0.5970 0.4030
Ac 0.9823 0.0860 0.2806
Ac 0.4823 0.2806 0.0860
Tl 0.0175 0.2012 0.7988
Tl 0.5175 0.7988 0.2012
Te 0.1820 0.6945 0.6296
Te 0.6820 0.6296 0.6945
Te 0.2130 0.4411 0.9073
Te 0.7130 0.9073 0.4411
Te 0.1771 0.0328 0.9672
Te 0.6515 0.2227 0.7773
Te 0.1515 0.7773 0.2227
Te 0.6771 0.9672 0.0328
Te 0.2130 0.0927 0.5589
Te 0.7130 0.5589 0.0927
Te 0.1820 0.3704 0.3055
Te 0.6820 0.3055 0.3704

Crystal system   orthorhombic
Formation energy from raw total energies   -1.20 eV per atom
Electronic total energy   -91.08 eV per cell



Here is crystalline Ac3TlTe4 at its relaxed geometry from Alexandria. Energies are from PBE.

abc: 6.7220 6.7220 6.7220
angles: 90.00 90.00 90.00
Positions (direct):
Ac 0.0000 0.5000 0.5000
Ac 0.5000 0.0000 0.5000
Ac 0.5000 0.5000 0.0000
Te 0.5000 0.0000 0.0000
Te 0.0000 0.5000 0.0000
Te 0.0000 0.0000 0.5000
Te 0.5000 0.5000 0.5000
Tl 0.0000 0.0000 0.0000

Crystal system   cubic
Formation energy from raw total energies   -1.32 eV per atom
Electronic total energy   -37.82 eV per cell



Here is crystalline Ac3TlTe5 at its relaxed geometry from Alexandria. Energies are from PBE.

abc: 8.9042 8.9042 10.5397
angles: 114.99 114.99 90.00
Positions (direct):
Ac 0.6461 0.1461 0.0000
Ac 0.3539 0.8539 0.0000
Ac 0.8539 0.6461 0.0000
Ac 0.1461 0.3539 0.0000
Ac 0.2500 0.2500 0.5000
Ac 0.7500 0.7500 0.5000
Tl 0.7500 0.2500 0.5000
Tl 0.2500 0.7500 0.5000
Te 0.0489 0.5489 0.7216
Te 0.6727 0.1727 0.7216
Te 0.1727 0.0489 0.7216
Te 0.5489 0.6727 0.7216
Te 0.9511 0.4511 0.2784
Te 0.3273 0.8273 0.2784
Te 0.8273 0.9511 0.2784
Te 0.4511 0.3273 0.2784
Te 0.5000 0.5000 0.0000
Te 0.0000 0.0000 0.0000

Crystal system   tetragonal
Formation energy from raw total energies   -1.12 eV per atom
Electronic total energy   -80.89 eV per cell



Here is crystalline Ac6TlTe5 at its relaxed geometry from Alexandria. Energies are from PBE.

abc: 8.2454 8.2725 8.2503
angles: 59.91 80.45 70.67
Positions (direct):
Ac 0.7552 0.0812 0.3260
Ac 0.2448 0.5928 0.3260
Ac 0.2469 0.2431 0.0000
Ac 0.7531 0.7569 0.0000
Ac 0.7552 0.4072 0.6740
Ac 0.2448 0.9188 0.6740
Te 0.5000 0.1700 0.6599
Te 0.0000 0.3340 0.3321
Te 0.5000 0.5000 0.0000
Te 0.0000 0.6660 0.6679
Te 0.5000 0.8300 0.3401
Tl 0.0000 0.0000 0.0000

Crystal system   monoclinic
Formation energy from raw total energies   -1.32 eV per atom
Electronic total energy   -58.59 eV per cell



Here is crystalline Ac2TlTe at its relaxed geometry from Alexandria. Energies are from PBE.

abc: 4.6170 4.6170 8.8604
angles: 74.90 74.90 60.00
Positions (direct):
Ac 0.2494 0.2494 0.2517
Ac 0.7506 0.7506 0.7483
Te 0.5000 0.5000 0.5000
Tl 0.0000 0.0000 0.0000

Crystal system   trigonal
E above lowest polymorph   48 meV per atom
Formation energy from raw total energies   -0.89 eV per atom
Electronic total energy   -17.27 eV per cell



Here is crystalline Ac5TlTe4 at its relaxed geometry from Alexandria. Energies are from PBE.

abc: 4.7500 4.7500 17.2360
angles: 97.92 97.92 90.00
Positions (direct):
Ac 0.0984 0.0984 0.1969
Ac 0.5000 0.5000 0.0000
Ac 0.9016 0.9016 0.8031
Ac 0.2987 0.2987 0.5974
Ac 0.7013 0.7013 0.4026
Tl 0.0000 0.0000 0.0000
Te 0.3977 0.3977 0.7955
Te 0.8011 0.8011 0.6021
Te 0.1989 0.1989 0.3979
Te 0.6023 0.6023 0.2045

Crystal system   tetragonal
E above lowest polymorph   30 meV per atom
Formation energy from raw total energies   -1.26 eV per atom
Electronic total energy   -48.10 eV per cell



Here is crystalline Ac2TlTe at its relaxed geometry from Alexandria. Energies are from PBE.

abc: 5.8323 5.8323 5.8323
angles: 60.00 60.00 60.00
Positions (direct):
Ac 0.2500 0.2500 0.2500
Ac 0.7500 0.7500 0.7500
Te 0.5000 0.5000 0.5000
Tl 0.0000 0.0000 0.0000

Crystal system   cubic
E above lowest polymorph   231 meV per atom
Formation energy from raw total energies   -0.70 eV per atom
Electronic total energy   -16.54 eV per cell



Here is crystalline AcTl2Te5 at its relaxed geometry from Alexandria. Energies are from PBE.

abc: 5.1948 6.4250 20.9328
angles: 90.00 90.00 113.85
Positions (direct):
Ac 0.6824 0.3647 0.7500
Ac 0.3176 0.6353 0.2500
Tl 0.6212 0.2423 0.4079
Tl 0.6212 0.2423 0.0921
Tl 0.3788 0.7577 0.5921
Tl 0.3788 0.7577 0.9079
Te 0.0830 0.1659 0.8666
Te 0.0830 0.1659 0.6334
Te 0.3286 0.6571 0.4085
Te 0.3286 0.6571 0.0915
Te 0.6171 0.2342 0.2500
Te 0.3829 0.7658 0.7500
Te 0.6714 0.3429 0.5915
Te 0.6714 0.3429 0.9085
Te 0.9170 0.8341 0.1334
Te 0.9170 0.8341 0.3666

Crystal system   orthorhombic
Formation energy from raw total energies   -0.54 eV per atom
Electronic total energy   -57.81 eV per cell



Here is crystalline AcTl3Te3 at its relaxed geometry from Alexandria. Energies are from PBE.

abc: 8.7807 8.7807 8.9654
angles: 71.13 71.13 65.93
Positions (direct):
Ac 0.1894 0.1894 0.0041
Ac 0.8106 0.8106 0.9959
Tl 0.2895 0.2895 0.4757
Tl 0.2230 0.7770 0.5000
Tl 0.7770 0.2230 0.5000
Tl 0.2903 0.7097 0.0000
Tl 0.7097 0.2903 0.0000
Tl 0.7105 0.7105 0.5243
Te 0.0433 0.0433 0.7547
Te 0.4649 0.0095 0.2388
Te 0.0095 0.4649 0.2388
Te 0.5351 0.9905 0.7612
Te 0.9905 0.5351 0.7612
Te 0.9567 0.9567 0.2453

Crystal system   monoclinic
Formation energy from raw total energies   -0.68 eV per atom
Electronic total energy   -50.72 eV per cell



Here is crystalline Ac2TlTe at its relaxed geometry from Alexandria. Energies are from PBE.

abc: 4.4409 4.4409 9.4790
angles: 76.45 76.45 60.00
Positions (direct):
Ac 0.0794 0.0794 0.7619
Ac 0.2539 0.2539 0.2384
Tl 0.4995 0.4995 0.5015
Te 0.6673 0.6673 0.9982

Crystal system   trigonal
E above lowest polymorph   129 meV per atom
Formation energy from raw total energies   -0.81 eV per atom
Electronic total energy   -16.95 eV per cell



Here is crystalline Ac4TlTe3 at its relaxed geometry from Alexandria. Energies are from PBE.

abc: 6.7390 6.7390 8.2692
angles: 114.06 114.06 89.97
Positions (direct):
Ac 0.0000 0.5000 0.0000
Ac 0.5000 0.0000 0.0000
Ac 0.2471 0.2471 0.4941
Ac 0.7529 0.7529 0.5059
Te 0.5000 0.5000 0.0000
Te 0.7500 0.2500 0.5000
Te 0.2500 0.7500 0.5000
Tl 0.0000 0.0000 0.0000

Crystal system   tetragonal
Formation energy from raw total energies   -1.24 eV per atom
Electronic total energy   -38.18 eV per cell



Here is crystalline AcTl5Te4 at its relaxed geometry from Alexandria. Energies are from PBE.

abc: 4.8614 9.0765 10.7433
angles: 119.04 103.08 90.00
Positions (direct):
Ac 0.5000 0.0000 0.0000
Tl 0.7914 0.6645 0.5829
Tl 0.8556 0.2005 0.7112
Tl 0.1444 0.7995 0.2888
Tl 0.5000 0.5000 0.0000
Tl 0.2086 0.3355 0.4171
Te 0.3292 0.9367 0.6585
Te 0.9534 0.7095 0.9068
Te 0.6708 0.0633 0.3415
Te 0.0466 0.2905 0.0932

Crystal system   monoclinic
Formation energy from raw total energies   -0.61 eV per atom
Electronic total energy   -34.65 eV per cell



Here is crystalline Ac2TlTe at its relaxed geometry from Alexandria. Energies are from PBE.

abc: 4.5196 6.7642 10.1780
angles: 90.00 90.00 90.00
Positions (direct):
Ac 0.0000 0.0000 0.8761
Ac 0.0000 0.0000 0.3707
Ac 0.5000 0.5000 0.6293
Ac 0.5000 0.5000 0.1239
Tl 0.5000 0.0000 0.6262
Tl 0.0000 0.5000 0.3738
Te 0.0000 0.5000 0.8786
Te 0.5000 0.0000 0.1214

Crystal system   orthorhombic
E above lowest polymorph   56 meV per atom
Formation energy from raw total energies   -0.88 eV per atom
Electronic total energy   -34.48 eV per cell



Here is crystalline Ac5TlTe4 at its relaxed geometry from Alexandria. Energies are from PBE.

abc: 6.7229 8.2634 8.2582
angles: 80.51 66.09 66.07
Positions (direct):
Ac 0.9023 0.3931 0.8045
Ac 0.2955 0.8045 0.6070
Ac 0.7064 0.1955 0.3930
Ac 0.0997 0.6069 0.1955
Ac 0.5012 0.0000 0.0000
Tl 0.0013 0.0000 0.0000
Te 0.4037 0.3996 0.7955
Te 0.8033 0.7956 0.6003
Te 0.1986 0.2044 0.3996
Te 0.5982 0.6004 0.2045

Crystal system   triclinic
E above lowest polymorph   0 meV per atom
Formation energy from raw total energies   -1.29 eV per atom
Electronic total energy   -48.39 eV per cell